VASP calculation (GGA-PBEsol) on a relaxed CrAuSCl2 crystal.

Its crystal system is tetragonal. As for the space-group type: P4/mmm (123). The energy relative to the elements, uncorrected comes out at 0.436 eV/atom.

Cell: 4.7983 4.7983 4.9403 Å, 90.00 90.00 90.00°
Closest atoms and distances in Å follow each position.
Fractional coordinates of all 5 atoms:
Cr1 0.0000 0.0000 0.0000  4 S 3.39, 8 Cl 3.44
Au1 0.5000 0.5000 0.5000  4 Cl 2.40, 2 S 2.47
S1 0.5000 0.5000 0.0000  2 Au 2.47
Cl1 0.0000 0.5000 0.5000  2 Au 2.40
Cl2 0.5000 0.0000 0.5000  2 Au 2.40



VASP calculation (GGA-PBEsol) on a relaxed CrAuS2Cl crystal.

Its crystal system is tetragonal. As for the space-group type: P4/mmm (123). The energy relative to the elements, uncorrected comes out at 0.214 eV/atom.

Cell: 4.4711 4.4711 4.6100 Å, 90.00 90.00 90.00°
Closest atoms and distances in Å follow each position.
Fractional coordinates of all 5 atoms:
Cr1 0.0000 0.0000 0.0000  4 S 2.24, 2 Cl 2.31
Au1 0.5000 0.5000 0.5000  4 Cl 3.16, 8 S 3.21
S1 0.0000 0.5000 0.0000  2 Cr 2.24
S2 0.5000 0.0000 0.0000  2 Cr 2.24
Cl1 0.0000 0.0000 0.5000  2 Cr 2.31



VASP calculation (GGA-PBEsol) on a relaxed Cr2WAuCl crystal.

Its crystal system is tetragonal. As for the space-group type: P4/mmm (123). The energy relative to the elements, uncorrected comes out at 1.445 eV/atom.

Cell: 4.1479 4.1479 4.5909 Å, 90.00 90.00 90.00°
Closest atoms and distances in Å follow each position.
Fractional coordinates of all 5 atoms:
Cr1 0.0000 0.5000 0.0000  2 Cl 2.07
Cr2 0.5000 0.0000 0.0000  2 Cl 2.07
W1 0.0000 0.0000 0.5000  4 Au 2.93, 8 Cr 3.09
Au1 0.5000 0.5000 0.5000  2 Cl 2.30
Cl1 0.5000 0.5000 0.0000  4 Cr 2.07, 2 Au 2.30



VASP calculation (GGA-PBEsol) on a relaxed Cs2AuCl crystal.

The value obtained for the energy above the most stable polymorph in this dataset is 0.000 eV per atom. Its crystal system is cubic. As for the space-group type: Fm-3m (225). The energy relative to the elements, uncorrected comes out at -1.030 eV/atom.

Cell: 5.8350 5.8350 5.8350 Å, 60.00 60.00 60.00°
Closest atoms and distances in Å follow each position.
Fractional coordinates of all 4 atoms:
Cs1 0.2500 0.2500 0.2500  4 Cl 3.57, 4 Au 3.57
Cs2 0.7500 0.7500 0.7500  4 Cl 3.57, 4 Au 3.57
Au1 0.0000 0.0000 0.0000  8 Cs 3.57
Cl1 0.5000 0.5000 0.5000  8 Cs 3.57



VASP calculation (GGA-PBEsol) on a relaxed CsAuCl2 crystal.

Its crystal system is cubic. As for the space-group type: Fm-3m (225). The energy relative to the elements, uncorrected comes out at -0.539 eV/atom.

Cell: 5.2486 5.2486 5.2486 Å, 60.00 60.00 60.00°
Closest atoms and distances in Å follow each position.
Fractional coordinates of all 4 atoms:
Cs1 0.0000 0.0000 0.0000  8 Cl 3.21
Au1 0.5000 0.5000 0.5000  8 Cl 3.21
Cl1 0.2500 0.2500 0.2500  4 Au 3.21, 4 Cs 3.21
Cl2 0.7500 0.7500 0.7500  4 Cs 3.21, 4 Au 3.21



VASP calculation (GGA-PBEsol) on a relaxed Cs2AuCl crystal.

The value obtained for the energy above the most stable polymorph in this dataset is 0.106 eV per atom. Its crystal system is tetragonal. As for the space-group type: I-42d (122). The energy relative to the elements, uncorrected comes out at -0.924 eV/atom.

Cell: 9.4563 9.4563 9.4563 Å, 130.91 130.91 71.96°
Closest atoms and distances in Å follow each position.
Fractional coordinates of all 8 atoms:
Cs1 0.1099 0.6250 0.9849  2 Cl 3.31, 2 Au 3.44
Cs2 0.3750 0.3599 0.4849  2 Cl 3.31, 2 Au 3.44
Cs3 0.6401 0.1250 0.0151  2 Cl 3.31, 2 Au 3.44
Cs4 0.8750 0.8901 0.5151  2 Cl 3.31, 2 Au 3.44
Au1 0.2500 0.7500 0.5000  4 Cs 3.44
Au2 0.5000 0.5000 0.0000  4 Cs 3.44
Cl1 0.0000 0.0000 0.0000  4 Cs 3.31
Cl2 0.7500 0.2500 0.5000  4 Cs 3.31



VASP calculation (GGA-PBEsol) on a relaxed CsAu2Cl crystal.

Its crystal system is cubic. As for the space-group type: Fm-3m (225). The energy relative to the elements, uncorrected comes out at 0.410 eV/atom.

Cell: 5.2781 5.2781 5.2781 Å, 60.00 60.00 60.00°
Closest atoms and distances in Å follow each position.
Fractional coordinates of all 4 atoms:
Cs1 0.0000 0.0000 0.0000  8 Au 3.23
Au1 0.2500 0.2500 0.2500  4 Cl 3.23, 4 Cs 3.23
Au2 0.7500 0.7500 0.7500  4 Cl 3.23, 4 Cs 3.23
Cl1 0.5000 0.5000 0.5000  8 Au 3.23



VASP calculation (GGA-PBEsol) on a relaxed CsAuCl4 crystal.

Its crystal system is monoclinic. As for the space-group type: C2/c (15). The energy relative to the elements, uncorrected comes out at -0.948 eV/atom.

Cell: 7.0286 7.0286 9.8981 Å, 101.60 101.60 51.84°
Closest atoms and distances in Å follow each position.
Fractional coordinates of all 12 atoms:
Cs1 0.2267 0.7733 0.7500  10 Cl 3.51-3.67
Cs2 0.7733 0.2267 0.2500  10 Cl 3.51-3.67
Au1 0.0000 0.5000 0.0000  4 Cl 2.28-2.29
Au2 0.5000 0.0000 0.5000  4 Cl 2.28-2.29
Cl1 0.1991 0.2593 0.6446  1 Au 2.29
Cl2 0.2057 0.6622 0.0746  1 Au 2.28
Cl3 0.2593 0.1991 0.1446  1 Au 2.29
Cl4 0.3378 0.7943 0.4254  1 Au 2.28
Cl5 0.6622 0.2057 0.5746  1 Au 2.28
Cl6 0.7407 0.8009 0.8554  1 Au 2.29
Cl7 0.7943 0.3378 0.9254  1 Au 2.28
Cl8 0.8009 0.7407 0.3554  1 Au 2.29



VASP calculation (GGA-PBEsol) on a relaxed Cs2DyAuCl6 crystal.

Its crystal system is cubic. As for the space-group type: Fm-3m (225). The energy relative to the elements, uncorrected comes out at -1.702 eV/atom.

Cell: 7.4763 7.4763 7.4763 Å, 60.00 60.00 60.00°
Closest atoms and distances in Å follow each position.
Fractional coordinates of all 10 atoms:
Cs1 0.2500 0.2500 0.2500  12 Cl 3.74
Cs2 0.7500 0.7500 0.7500  12 Cl 3.74
Dy1 0.0000 0.0000 0.0000  6 Cl 2.60
Au1 0.5000 0.5000 0.5000  6 Cl 2.68
Cl1 0.2462 0.2462 0.7538  1 Dy 2.60, 1 Au 2.68
Cl2 0.2462 0.7538 0.2462  1 Dy 2.60, 1 Au 2.68
Cl3 0.2462 0.7538 0.7538  1 Dy 2.60, 1 Au 2.68
Cl4 0.7538 0.2462 0.2462  1 Dy 2.60, 1 Au 2.68
Cl5 0.7538 0.2462 0.7538  1 Dy 2.60, 1 Au 2.68
Cl6 0.7538 0.7538 0.2462  1 Dy 2.60, 1 Au 2.68



VASP calculation (GGA-PBEsol) on a relaxed Cs2ErAuCl6 crystal.

Its crystal system is cubic. As for the space-group type: Fm-3m (225). The energy relative to the elements, uncorrected comes out at -1.705 eV/atom.

Cell: 7.4471 7.4471 7.4471 Å, 60.00 60.00 60.00°
Closest atoms and distances in Å follow each position.
Fractional coordinates of all 10 atoms:
Cs1 0.2500 0.2500 0.2500  12 Cl 3.72
Cs2 0.7500 0.7500 0.7500  12 Cl 3.72
Er1 0.0000 0.0000 0.0000  6 Cl 2.58
Au1 0.5000 0.5000 0.5000  6 Cl 2.69
Cl1 0.2451 0.2451 0.7549  1 Er 2.58, 1 Au 2.69
Cl2 0.2451 0.7549 0.2451  1 Er 2.58, 1 Au 2.69
Cl3 0.2451 0.7549 0.7549  1 Er 2.58, 1 Au 2.69
Cl4 0.7549 0.2451 0.2451  1 Er 2.58, 1 Au 2.69
Cl5 0.7549 0.2451 0.7549  1 Er 2.58, 1 Au 2.69
Cl6 0.7549 0.7549 0.2451  1 Er 2.58, 1 Au 2.69



VASP calculation (GGA-PBEsol) on a relaxed Cs2SbAuCl6 crystal.

Its crystal system is cubic. As for the space-group type: Fm-3m (225). The energy relative to the elements, uncorrected comes out at -1.174 eV/atom.

Cell: 7.4597 7.4597 7.4597 Å, 60.00 60.00 60.00°
Closest atoms and distances in Å follow each position.
Fractional coordinates of all 10 atoms:
Cs1 0.2500 0.2500 0.2500  12 Cl 3.73
Cs2 0.7500 0.7500 0.7500  12 Cl 3.73
Sb1 0.0000 0.0000 0.0000  6 Cl 2.64
Au1 0.5000 0.5000 0.5000  6 Cl 2.63
Cl1 0.2504 0.2504 0.7496  1 Au 2.63, 1 Sb 2.64
Cl2 0.2504 0.7496 0.2504  1 Au 2.63, 1 Sb 2.64
Cl3 0.2504 0.7496 0.7496  1 Au 2.63, 1 Sb 2.64
Cl4 0.7496 0.2504 0.2504  1 Au 2.63, 1 Sb 2.64
Cl5 0.7496 0.2504 0.7496  1 Au 2.63, 1 Sb 2.64
Cl6 0.7496 0.7496 0.2504  1 Au 2.63, 1 Sb 2.64



VASP calculation (GGA-PBEsol) on a relaxed Cs2TlAuCl6 crystal.

Its crystal system is cubic. As for the space-group type: Fm-3m (225). The energy relative to the elements, uncorrected comes out at -1.142 eV/atom.

Cell: 7.4273 7.4273 7.4273 Å, 60.00 60.00 60.00°
Closest atoms and distances in Å follow each position.
Fractional coordinates of all 10 atoms:
Cs1 0.2500 0.2500 0.2500  12 Cl 3.71
Cs2 0.7500 0.7500 0.7500  12 Cl 3.71
Tl1 0.0000 0.0000 0.0000  6 Cl 2.71
Au1 0.5000 0.5000 0.5000  6 Cl 2.54
Cl1 0.2582 0.2582 0.7418  1 Au 2.54, 1 Tl 2.71
Cl2 0.2582 0.7418 0.2582  1 Au 2.54, 1 Tl 2.71
Cl3 0.2582 0.7418 0.7418  1 Au 2.54, 1 Tl 2.71
Cl4 0.7418 0.2582 0.2582  1 Au 2.54, 1 Tl 2.71
Cl5 0.7418 0.2582 0.7418  1 Au 2.54, 1 Tl 2.71
Cl6 0.7418 0.7418 0.2582  1 Au 2.54, 1 Tl 2.71



VASP calculation (GGA-PBEsol) on a relaxed CuGeAuCl2 crystal.

Its crystal system is tetragonal. As for the space-group type: P4/mmm (123). The energy relative to the elements, uncorrected comes out at 0.631 eV/atom.

Cell: 4.9043 4.9043 5.0238 Å, 90.00 90.00 90.00°
Closest atoms and distances in Å follow each position.
Fractional coordinates of all 5 atoms:
Cu1 0.0000 0.0000 0.0000  4 Ge 3.47, 8 Cl 3.51
Ge1 0.5000 0.5000 0.0000  2 Au 2.51
Au1 0.5000 0.5000 0.5000  4 Cl 2.45, 2 Ge 2.51
Cl1 0.0000 0.5000 0.5000  2 Au 2.45
Cl2 0.5000 0.0000 0.5000  2 Au 2.45